(1)
LiCl3 | PBE-GGA | optimized geometry

ΔE to the lowest computed polymorph ... 1.5 kJ per mole of atoms
VASP energy ... -2.71 eV/atom
Magnetic moment ... 0.000 μB/f.u.

a = 3.9569 Å, b = 3.9569 Å, c = 21.3427 Å
α = 90.00°, β = 90.00°, γ = 120.00°
Space group R-3m (No. 166, hexagonal axes)
Symmetry-distinct sites (fractional):
Li1 0.0000 0.0000 0.0000 x3
Cl1 0.0000 0.0000 0.3924 x6
Cl2 0.0000 0.0000 0.5000 x3

(2)
TbDyCu3 | PBE-GGA | optimized geometry

Calculated formation energy ... -1.238 eV/f.u.
VASP energy ... -4.55 eV/atom
Magnetic moment ... 0.000 μB/f.u.

a = 3.611 Å, b = 25.557 Å, c = 4.293 Å
α = 90.00°, β = 90.00°, γ = 90.00°
Space group Cmcm (No. 63)
Symmetry-distinct sites (fractional):
Tb1 0.000 0.071 0.250 x4
Dy1 0.000 0.204 0.750 x4
Cu1 0.000 0.329 0.750 x4
Cu2 0.000 0.382 0.250 x4
Cu3 0.000 0.477 0.250 x4

(3)
MoRhCl2 | PBE-GGA | optimized geometry

ΔE to the lowest computed polymorph ... 82.6 kJ per mole of atoms
VASP energy ... -4.86 eV/atom
Magnetic moment ... 0.000 μB/f.u.

a = 3.094 Å, b = 3.094 Å, c = 6.282 Å
α = 90.00°, β = 90.00°, γ = 90.00°
Space group P4/mmm (No. 123)
Symmetry-distinct sites (fractional):
Mo1 0.000 0.000 0.000 x1
Rh1 0.000 0.000 0.500 x1
Cl1 0.500 0.500 0.235 x2

(4)
SrLiAl2 | PBE-GGA | optimized geometry

Calculated formation energy ... 0.368 eV/f.u.
ΔE to the lowest computed polymorph ... 27.6 kJ per mole of atoms
VASP energy ... -2.68 eV/atom
Magnetic moment ... 0.000 μB/f.u.

a = 4.917 Å, b = 4.917 Å, c = 19.053 Å
α = 90.00°, β = 90.00°, γ = 90.00°
Space group I-42d (No. 122)
Symmetry-distinct sites (fractional):
Sr1 0.000 0.000 0.000 x4
Li1 0.000 0.000 0.500 x4
Al1 0.065 0.750 0.625 x8

(5)
Pm2Dy7Y | PBE-GGA | optimized geometry

Calculated formation energy ... 0.152 eV/f.u.
ΔE to the lowest computed polymorph ... 0.0 kJ per mole of atoms
VASP energy ... -4.80 eV/atom
Magnetic moment ... 0.000 μB/f.u.

a = 6.171 Å, b = 7.135 Å, c = 7.973 Å
α = 77.09°, β = 75.03°, γ = 73.35°
Space group P-1 (No. 2)
Symmetry-distinct sites (fractional):
Pm1 0.201 0.299 0.099 x2
Dy1 0.000 0.000 0.500 x1
Dy2 0.200 0.801 0.100 x2
Dy3 0.400 0.601 0.699 x2
Dy4 0.401 0.100 0.698 x2
Y1 0.000 0.500 0.500 x1

(6)
ScCu2Pd6 | PBE-GGA | optimized geometry

Calculated formation energy ... -1.912 eV/f.u.
VASP energy ... -5.29 eV/atom
Magnetic moment ... 0.000 μB/f.u.

a = 4.3495 Å, b = 4.3495 Å, c = 26.2859 Å
α = 90.00°, β = 90.00°, γ = 120.00°
Space group R-3m (No. 166, hexagonal axes)
Symmetry-distinct sites (fractional):
Sc1 0.0000 0.0000 0.0000 x3
Cu1 0.0000 0.0000 0.1015 x6
Pd1 0.0000 0.0000 0.1973 x6
Pd2 0.0000 0.0000 0.3014 x6
Pd3 0.0000 0.0000 0.4127 x6

(7)
Ta2ReBr | PBE-GGA | optimized geometry

ΔE to the lowest computed polymorph ... 52.2 kJ per mole of atoms
VASP energy ... -8.74 eV/atom
Magnetic moment ... 0.000 μB/f.u.

a = 3.201 Å, b = 4.743 Å, c = 9.099 Å
α = 90.00°, β = 90.00°, γ = 90.00°
Space group Immm (No. 71)
Symmetry-distinct sites (fractional):
Ta1 0.000 0.000 0.249 x4
Re1 0.000 0.500 0.500 x2
Br1 0.000 0.500 0.000 x2

(8)
Ac2PuH12Ru3 | PBE-GGA | optimized geometry

VASP energy ... -5.30 eV/atom
Magnetic moment ... 6.056 μB/f.u.

a = 6.5633 Å, b = 6.5633 Å, c = 15.1279 Å
α = 90.00°, β = 90.00°, γ = 120.00°
Space group R-3m (No. 166, hexagonal axes)
Symmetry-distinct sites (fractional):
Ac1 0.0000 0.0000 0.1158 x6
Pu1 0.0000 0.0000 0.5000 x3
H1 0.0306 0.5153 0.8875 x18
H2 0.0498 0.5249 0.3173 x18
Ru1 0.0000 0.5000 0.0000 x9

(9)
Ba2CrOs | PBE-GGA | optimized geometry

Calculated formation energy ... 5.124 eV/f.u.
ΔE to the lowest computed polymorph ... 87.2 kJ per mole of atoms
VASP energy ... -4.89 eV/atom
Magnetic moment ... 5.026 μB/f.u.

a = 3.8523 Å, b = 3.8523 Å, c = 30.5707 Å
α = 90.00°, β = 90.00°, γ = 120.00°
Space group R-3m (No. 166, hexagonal axes)
Symmetry-distinct sites (fractional):
Ba1 0.0000 0.0000 0.2373 x6
Cr1 0.0000 0.0000 0.0000 x3
Os1 0.0000 0.0000 0.5000 x3

(10)
ErZr5N4 | PBE-GGA | optimized geometry

VASP energy ... -9.44 eV/atom
Magnetic moment ... 0.000 μB/f.u.

a = 14.163 Å, b = 3.326 Å, c = 6.671 Å
α = 90.00°, β = 104.29°, γ = 90.00°
Space group C2/m (No. 12)
Symmetry-distinct sites (fractional):
Er1 0.000 0.000 0.000 x2
Zr1 0.000 0.000 0.500 x2
Zr2 0.164 0.500 0.848 x4
Zr3 0.170 0.500 0.319 x4
N1 0.004 0.500 0.261 x4
N2 0.170 0.000 0.086 x4

(11)
RbNaGa2Pt | PBE-GGA | optimized geometry

Calculated formation energy ... -1.570 eV/f.u.
VASP energy ... -3.19 eV/atom
Magnetic moment ... 0.000 μB/f.u.

a = 4.891 Å, b = 4.891 Å, c = 5.691 Å
α = 90.00°, β = 90.00°, γ = 90.00°
Space group P4/mmm (No. 123)
Symmetry-distinct sites (fractional):
Rb1 0.000 0.000 0.000 x1
Na1 0.500 0.500 0.000 x1
Ga1 0.000 0.500 0.500 x2
Pt1 0.500 0.500 0.500 x1

(12)
Nd2GaSn | PBE-GGA | optimized geometry

Calculated formation energy ... -1.788 eV/f.u.
VASP energy ... -4.59 eV/atom
Magnetic moment ... 0.000 μB/f.u.

a = 3.9511 Å, b = 3.9511 Å, c = 26.5628 Å
α = 90.00°, β = 90.00°, γ = 120.00°
Space group R-3m (No. 166, hexagonal axes)
Symmetry-distinct sites (fractional):
Nd1 0.0000 0.0000 0.2456 x6
Ga1 0.0000 0.0000 0.5000 x3
Sn1 0.0000 0.0000 0.0000 x3